No. 1
Sm3Y8Mg after structural relaxation, computed with PBE-GGA.

Unit cell a=3.6200 b=9.5530 c=11.9173 alpha=69.15 beta=90.00 gamma=90.00
Fractional coordinates of all 12 atoms:
1 Y 0.3333 0.7322 0.0039
2 Sm 0.8331 0.4851 0.2584
3 Y 0.8332 0.9910 0.7642
4 Y 0.3331 0.7889 0.2948
5 Y 0.3331 0.2295 0.5132
6 Y 0.3331 0.8355 0.5803
7 Y 0.3332 0.3430 0.0698
8 Mg 0.8333 0.5994 0.8197
9 Y 0.8331 0.5362 0.5376
10 Y 0.8331 0.0906 0.3234
11 Sm 0.8333 0.0373 0.0403
12 Sm 0.3333 0.3010 0.7911

Summary:
DFT formation energy: 0.002 eV per atom
E: -67.4 eV for the cell shown
SG: Pm

No. 2
Hg2MoCl after structural relaxation, computed with PBE-GGA.

Unit cell a=5.1514 b=5.1514 c=5.1514 alpha=60.00 beta=60.00 gamma=60.00
Last column: magnetic moment on the atom in μB.
Fractional coordinates of all 4 atoms:
1 Hg 0.2500 0.2500 0.2500  0.07
2 Hg 0.0000 0.0000 0.0000  0.10
3 Cl 0.5000 0.5000 0.5000  0.08
4 Mo 0.7500 0.7500 0.7500  3.71

Summary:
relative energy among the computed polymorphs: 51.4 kJ per mole of atoms
E: -10.5 eV for the cell shown
SG: F-43m
formation energy without anion corrections: 16.2 kcal/mol of atoms

> What is the E in the first record?

-67.4 eV for the cell shown